# 1
{"formula": "CdGaPO", "functional": "PBE", "state": "relaxed", "relative_energy_ev_per_atom": 0.532, "vol_a3_per_cell": 132.2, "lattice_angstrom": [[3.8859, 0.0000, 0.0000], [0.0000, 3.8859, 0.0000], [0.0000, 0.0000, 8.7542]], "species": ["Cd", "Cd", "Ga", "Ga", "O", "O", "P", "P"], "fractional_positions": [[0.0000, 0.0000, 0.5000], [0.5000, 0.5000, 0.5000], [0.0000, 0.5000, 0.0923], [0.5000, 0.0000, 0.9077], [0.0000, 0.0000, 0.0000], [0.5000, 0.5000, 0.0000], [0.5000, 0.0000, 0.2929], [0.0000, 0.5000, 0.7071]]}

---

# 2
{"formula": "CdGaPO", "functional": "PBE", "state": "relaxed", "relative_energy_ev_per_atom": 0.177, "vol_a3_per_cell": 144.5, "lattice_angstrom": [[3.4834, 0.0000, 0.0000], [0.0000, 6.5017, 0.0000], [0.0000, 0.0000, 6.3819]], "species": ["Cd", "Cd", "Ga", "Ga", "O", "O", "P", "P"], "fractional_positions": [[0.5000, 0.8562, 0.0413], [0.5000, 0.1438, 0.5413], [0.0000, 0.6796, 0.4752], [0.0000, 0.3204, 0.9752], [0.5000, 0.8174, 0.3968], [0.5000, 0.1826, 0.8968], [0.0000, 0.3473, 0.3407], [0.0000, 0.6527, 0.8407]]}

---

# 3
{"formula": "CdGaPO", "functional": "PBE", "state": "relaxed", "relative_energy_ev_per_atom": 0.000, "vol_a3_per_cell": 145.9, "lattice_angstrom": [[3.8694, 0.0000, 0.0000], [0.0000, 6.5600, 0.0000], [0.0000, 0.0000, 5.7476]], "species": ["Cd", "Cd", "Ga", "Ga", "O", "O", "P", "P"], "fractional_positions": [[0.0000, 0.6893, 0.4634], [0.0000, 0.3107, 0.9634], [0.5000, 0.8669, 0.0214], [0.5000, 0.1331, 0.5214], [0.5000, 0.8749, 0.3611], [0.5000, 0.1251, 0.8611], [0.0000, 0.3003, 0.4082], [0.0000, 0.6997, 0.9082]]}